1.
First-principles (PBE) data for a relaxed structure of Er2SiB3, as listed in Alexandria via LeMat-Bulk.

```
data_Er2SiB3
_symmetry_space_group_name_H-M 'F m m m'
_symmetry_Int_Tables_number 69
_symmetry_space_group_name_Hall '-F 2 2'
_cell_length_a 6.800
_cell_length_b 7.980
_cell_length_c 11.754
_cell_angle_alpha 90.00
_cell_angle_beta 90.00
_cell_angle_gamma 90.00
loop_
_atom_site_label
_atom_site_fract_x
_atom_site_fract_y
_atom_site_fract_z
Er1 0.000 0.244 0.000
Er2 0.250 0.250 0.250
Si1 0.000 0.000 0.334
B1 0.000 0.000 0.155
B2 0.232 0.000 0.077
```

- formation energy (no corrections) (meV per atom) = -658

2.
First-principles (PBE) data for a relaxed structure of Al2ZnP, as listed in Alexandria via LeMat-Bulk.

```
data_Al2ZnP
_symmetry_space_group_name_H-M 'I m m m'
_symmetry_Int_Tables_number 71
_symmetry_space_group_name_Hall '-I 2 2'
_cell_length_a 3.431
_cell_length_b 4.881
_cell_length_c 7.839
_cell_angle_alpha 90.00
_cell_angle_beta 90.00
_cell_angle_gamma 90.00
loop_
_atom_site_label
_atom_site_fract_x
_atom_site_fract_y
_atom_site_fract_z
Al1 0.000 0.000 0.230
Zn1 0.000 0.500 0.000
P1 0.000 0.500 0.500
```

- offset from the most stable computed form (meV/atom) = 99
- ΔH_f (0 K) (eV/atom) = 0.117

3.
First-principles (PBE) data for a relaxed structure of La5PmPr2Th, as listed in Alexandria via LeMat-Bulk.

```
data_La5PmPr2Th
_symmetry_space_group_name_H-M 'I 4/m c m'
_symmetry_Int_Tables_number 140
_symmetry_space_group_name_Hall '-I 4 2c'
_cell_length_a 9.144
_cell_length_b 9.144
_cell_length_c 15.378
_cell_angle_alpha 90.00
_cell_angle_beta 90.00
_cell_angle_gamma 90.00
loop_
_atom_site_label
_atom_site_fract_x
_atom_site_fract_y
_atom_site_fract_z
La1 0.000 0.000 0.000
La2 0.211 0.289 0.146
Pm1 0.000 0.500 0.250
Pr1 0.116 0.384 0.500
Th1 0.000 0.000 0.250
```

- ΔH_f (0 K) (eV/atom) = 0.265

Number 1: energy -6.42 eV/atom. Number 2: energy -3.43 eV/atom. Number 3: energy -4.89 eV/atom.